Material: LuAlO3
Method: DFT, PBE
State: relaxed

Cell lengths 5.1335, 5.1335, 5.1335 Å; angles 61.01, 61.01, 61.01 degrees
Last column: nearest neighbours and their distance in Å.
Element x y z (fractional)
O 0.1625 0.7500 0.3375  2 Al 1.88
Lu 0.2500 0.2500 0.2500  3 O 2.15
O 0.2500 0.6625 0.8375  2 Al 1.88
O 0.3375 0.1625 0.7500  2 Al 1.88
O 0.6625 0.8375 0.2500  2 Al 1.88
Al 0.0000 0.0000 0.0000  6 O 1.88
O 0.7500 0.3375 0.1625  2 Al 1.88
Lu 0.7500 0.7500 0.7500  3 O 2.15
Al 0.5000 0.5000 0.5000  6 O 1.88
O 0.8375 0.2500 0.6625  2 Al 1.88

Values from the calculation:
As for the total magnetization: 0.00 μB/atom. The value obtained for the total energy is -7.927 eV/atom.

Material: LuAlO3
Method: DFT, PBE
State: relaxed

Cell lengths 5.2820, 5.2821, 8.1606 Å; angles 90.00, 90.00, 90.00 degrees
Last column: nearest neighbours and their distance in Å.
Element x y z (fractional)
Lu 0.0000 0.5000 0.0000  6 O 2.14-2.38
O 0.3439 0.8265 0.2500  2 Al 1.89-1.90
O 0.6561 0.1735 0.7500  2 Al 1.89-1.90
O 0.3563 0.6467 0.9115  1 Al 1.76
Al 0.5262 0.5065 0.7500  4 O 1.76-1.90
Al 0.9738 0.0065 0.7500  4 O 1.76-1.90
O 0.8563 0.8533 0.0885  1 Al 1.76
O 0.1561 0.3265 0.2500  2 Al 1.89-1.90
Al 0.4738 0.4935 0.2500  4 O 1.76-1.90
Lu 0.0000 0.5000 0.5000  6 O 2.14-2.38
O 0.8439 0.6735 0.7500  2 Al 1.89-1.90
O 0.1437 0.1467 0.9115  1 Al 1.76
O 0.1437 0.1467 0.5885  1 Al 1.76
O 0.6437 0.3533 0.0885  1 Al 1.76
Lu 0.5000 0.0000 0.0000  6 O 2.14-2.38
Lu 0.5000 0.0000 0.5000  6 O 2.14-2.38
O 0.8563 0.8533 0.4115  1 Al 1.76
Al 0.0262 0.9935 0.2500  4 O 1.76-1.90
O 0.3563 0.6467 0.5885  1 Al 1.76
O 0.6437 0.3533 0.4115  1 Al 1.76

Values from the calculation:
As for the total magnetization: 0.00 μB/atom. The value obtained for the total energy is -7.761 eV/atom.

Material: Lu3Al5O12
Method: DFT, PBE
State: relaxed

Cell lengths 10.2704, 10.2704, 10.2704 Å; angles 109.47, 109.47, 109.47 degrees
Last column: nearest neighbours and their distance in Å.
Element x y z (fractional)
O 0.3212 0.9040 0.0246  2 Al 1.76-1.92
Al 0.2500 0.1250 0.8750  4 O 1.76
Al 0.8750 0.1250 0.7500  4 O 1.76
O 0.7966 0.4172 0.8212  2 Al 1.76-1.92
Al 0.6250 0.7500 0.3750  4 O 1.76
Al 0.7500 0.3750 0.6250  4 O 1.76
Al 0.1250 0.8750 0.2500  4 O 1.76
Al 0.7500 0.8750 0.1250  4 O 1.76
O 0.0960 0.6206 0.4172  2 Al 1.76-1.92
Lu 0.1250 0.2500 0.3750  8 O 2.27-2.37
O 0.4040 0.8212 0.5246  2 Al 1.76-1.92
O 0.6788 0.0960 0.9754  2 Al 1.76-1.92
Al 0.5000 0.0000 0.0000  6 O 1.92
O 0.6206 0.4172 0.0960  2 Al 1.76-1.92
O 0.4172 0.0960 0.6206  2 Al 1.76-1.92
O 0.4172 0.8212 0.7966  2 Al 1.76-1.92
Al 0.0000 0.5000 0.5000  6 O 1.92
Lu 0.6250 0.8750 0.7500  8 O 2.27-2.37
Al 0.3750 0.2500 0.6250  4 O 1.76
Lu 0.3750 0.1250 0.2500  8 O 2.27-2.37
O 0.0828 0.7034 0.6788  2 Al 1.76-1.92
O 0.7966 0.8794 0.9754  2 Al 1.76-1.92
Lu 0.7500 0.1250 0.3750  8 O 2.27-2.37
O 0.3794 0.5828 0.9040  2 Al 1.76-1.92
Al 0.8750 0.2500 0.1250  4 O 1.76
Al 0.0000 0.5000 0.0000  6 O 1.92
Al 0.0000 0.0000 0.5000  6 O 1.92
O 0.1788 0.2034 0.5828  2 Al 1.76-1.92
O 0.3794 0.2966 0.4754  2 Al 1.76-1.92
O 0.2034 0.1206 0.0246  2 Al 1.76-1.92
O 0.8212 0.5246 0.4040  2 Al 1.76-1.92
O 0.5828 0.9040 0.3794  2 Al 1.76-1.92
Lu 0.3750 0.7500 0.1250  8 O 2.27-2.37
O 0.5246 0.6206 0.7034  2 Al 1.76-1.92
O 0.5960 0.1788 0.4754  2 Al 1.76-1.92
O 0.5960 0.9172 0.1206  2 Al 1.76-1.92
Al 0.0000 0.0000 0.0000  6 O 1.92
O 0.5246 0.4040 0.8212  2 Al 1.76-1.92
Lu 0.2500 0.3750 0.1250  8 O 2.27-2.37
O 0.4754 0.5960 0.1788  2 Al 1.76-1.92
O 0.9040 0.0246 0.3212  2 Al 1.76-1.92
O 0.5828 0.1788 0.2034  2 Al 1.76-1.92
Al 0.2500 0.6250 0.3750  4 O 1.76
O 0.4754 0.3794 0.2966  2 Al 1.76-1.92
Lu 0.2500 0.8750 0.6250  8 O 2.27-2.37
O 0.1788 0.4754 0.5960  2 Al 1.76-1.92
O 0.1206 0.5960 0.9172  2 Al 1.76-1.92
Al 0.6250 0.3750 0.2500  4 O 1.76
O 0.9172 0.1206 0.5960  2 Al 1.76-1.92
O 0.1206 0.0246 0.2034  2 Al 1.76-1.92
O 0.7034 0.6788 0.0828  2 Al 1.76-1.92
O 0.2966 0.3212 0.9172  2 Al 1.76-1.92
Al 0.5000 0.5000 0.5000  6 O 1.92
O 0.2034 0.5828 0.1788  2 Al 1.76-1.92
O 0.4040 0.0828 0.8794  2 Al 1.76-1.92
O 0.0246 0.2034 0.1206  2 Al 1.76-1.92
Lu 0.7500 0.6250 0.8750  8 O 2.27-2.37
Al 0.1250 0.7500 0.8750  4 O 1.76
Lu 0.1250 0.3750 0.7500  8 O 2.27-2.37
O 0.6206 0.7034 0.5246  2 Al 1.76-1.92
O 0.0828 0.8794 0.4040  2 Al 1.76-1.92
O 0.9172 0.2966 0.3212  2 Al 1.76-1.92
O 0.9040 0.3794 0.5828  2 Al 1.76-1.92
O 0.9754 0.6788 0.0960  2 Al 1.76-1.92
O 0.2966 0.4754 0.3794  2 Al 1.76-1.92
Lu 0.8750 0.7500 0.6250  8 O 2.27-2.37
Al 0.3750 0.6250 0.7500  4 O 1.76
Lu 0.8750 0.6250 0.2500  8 O 2.27-2.37
O 0.0960 0.9754 0.6788  2 Al 1.76-1.92
O 0.7034 0.5246 0.6206  2 Al 1.76-1.92
O 0.0246 0.3212 0.9040  2 Al 1.76-1.92
O 0.6788 0.0828 0.7034  2 Al 1.76-1.92
O 0.8794 0.4040 0.0828  2 Al 1.76-1.92
Al 0.5000 0.5000 0.0000  6 O 1.92
Al 0.5000 0.0000 0.5000  6 O 1.92
O 0.9754 0.7966 0.8794  2 Al 1.76-1.92
O 0.8794 0.9754 0.7966  2 Al 1.76-1.92
O 0.3212 0.9172 0.2966  2 Al 1.76-1.92
O 0.8212 0.7966 0.4172  2 Al 1.76-1.92
Lu 0.6250 0.2500 0.8750  8 O 2.27-2.37

Values from the calculation:
As for the total magnetization: 0.00 μB/atom. The value obtained for the total energy is -7.892 eV/atom.

Material: LuAlO3
Method: DFT, PBE
State: relaxed

Cell lengths 5.7859, 5.7859, 5.7859 Å; angles 55.10, 55.10, 55.10 degrees
Last column: nearest neighbours and their distance in Å.
Element x y z (fractional)
O 0.9279 0.2500 0.5721  1 Al 1.72
Al 0.2500 0.2500 0.2500  3 O 1.72
O 0.2500 0.5721 0.9279  1 Al 1.72
O 0.5721 0.9279 0.2500  1 Al 1.72
Lu 0.0000 0.0000 0.0000  6 O 2.19
O 0.4279 0.0721 0.7500  1 Al 1.72
Lu 0.5000 0.5000 0.5000  6 O 2.19
Al 0.7500 0.7500 0.7500  3 O 1.72
O 0.0721 0.7500 0.4279  1 Al 1.72
O 0.7500 0.4279 0.0721  1 Al 1.72

Values from the calculation:
As for the total magnetization: 0.00 μB/atom. The value obtained for the total energy is -7.765 eV/atom.

Material: Lu4Al2O9
Method: DFT, PBE
State: relaxed

Cell lengths 7.1384, 10.2358, 10.9709 Å; angles 90.00, 107.99, 90.00 degrees
Last column: nearest neighbours and their distance in Å.
Element x y z (fractional)
O 0.9217 0.0087 0.6074  4 Lu 2.24-2.29
Lu 0.9782 0.6014 0.6960  6 O 2.14-2.29
Al 0.6559 0.3298 0.6092  4 O 1.75-1.77
Al 0.2131 0.1735 0.1271  4 O 1.73-1.76
O 0.2107 0.0060 0.1496  1 Al 1.73
O 0.0676 0.2337 0.9797  1 Al 1.74
O 0.7690 0.7456 0.7280  1 Al 1.76
O 0.5628 0.0070 0.3897  4 Lu 2.19-2.24
O 0.7968 0.2533 0.2469  1 Al 1.75
O 0.2107 0.4940 0.6496  1 Al 1.73
O 0.4331 0.2591 0.6147  2 Al 1.76-1.77
Al 0.3441 0.6703 0.3908  4 O 1.75-1.77
O 0.2310 0.2544 0.2720  1 Al 1.76
O 0.7968 0.2467 0.7469  1 Al 1.75
Lu 0.8393 0.3799 0.9168  6 O 2.16-2.29
O 0.7893 0.5060 0.3504  1 Al 1.73
O 0.2310 0.2456 0.7720  1 Al 1.76
Lu 0.4782 0.8855 0.2169  6 O 2.19-2.44
O 0.3641 0.7329 0.5427  1 Al 1.75
O 0.9324 0.7663 0.0203  1 Al 1.74
Al 0.3441 0.8297 0.8908  4 O 1.75-1.77
O 0.4372 0.5070 0.1103  4 Lu 2.19-2.24
O 0.6907 0.4946 0.6517  1 Al 1.75
Lu 0.8393 0.1201 0.4168  6 O 2.16-2.29
Al 0.6559 0.1703 0.1092  4 O 1.75-1.77
Lu 0.0218 0.1014 0.8040  6 O 2.14-2.29
Lu 0.6575 0.8731 0.5589  5 O 2.20-2.27
Lu 0.1607 0.8799 0.5832  6 O 2.16-2.29
O 0.0676 0.2663 0.4797  1 Al 1.74
Lu 0.4782 0.6145 0.7169  6 O 2.19-2.44
O 0.6907 0.0054 0.1517  1 Al 1.75
O 0.5669 0.7591 0.8853  2 Al 1.76-1.77
Al 0.2131 0.3265 0.6271  4 O 1.73-1.76
Lu 0.3425 0.1269 0.4411  5 O 2.20-2.27
O 0.0783 0.5087 0.8926  4 Lu 2.24-2.29
O 0.7690 0.7544 0.2280  1 Al 1.76
Lu 0.5218 0.3855 0.2831  6 O 2.19-2.44
O 0.6359 0.2671 0.4573  1 Al 1.75
Al 0.7869 0.8265 0.8729  4 O 1.73-1.76
O 0.6359 0.2329 0.9573  1 Al 1.75
O 0.3093 0.9946 0.8483  1 Al 1.75
O 0.0783 0.9913 0.3926  4 Lu 2.24-2.29
O 0.4331 0.2409 0.1147  2 Al 1.76-1.77
O 0.5669 0.7409 0.3853  2 Al 1.76-1.77
Lu 0.3425 0.3731 0.9411  5 O 2.20-2.27
Al 0.7869 0.6735 0.3729  4 O 1.73-1.76
O 0.7893 0.9940 0.8504  1 Al 1.73
O 0.5628 0.4930 0.8897  4 Lu 2.19-2.24
Lu 0.1607 0.6201 0.0832  6 O 2.16-2.29
Lu 0.0218 0.3986 0.3040  6 O 2.14-2.29
O 0.3641 0.7671 0.0427  1 Al 1.75
O 0.2032 0.7467 0.7531  1 Al 1.75
O 0.3093 0.5054 0.3483  1 Al 1.75
Lu 0.5218 0.1145 0.7831  6 O 2.19-2.44
O 0.9217 0.4913 0.1074  4 Lu 2.24-2.29
O 0.9324 0.7337 0.5203  1 Al 1.74
O 0.2032 0.7533 0.2531  1 Al 1.75
O 0.4372 0.9930 0.6103  4 Lu 2.19-2.24
Lu 0.6575 0.6269 0.0589  5 O 2.20-2.27
Lu 0.9782 0.8986 0.1960  6 O 2.14-2.29

Values from the calculation:
As for the total magnetization: 0.00 μB/atom. The value obtained for the total energy is -8.137 eV/atom.

Material: LuAlO3
Method: DFT, PBE
State: relaxed

Cell lengths 5.1516, 5.1516, 5.5608 Å; angles 62.41, 62.41, 60.00 degrees
Last column: nearest neighbours and their distance in Å.
Element x y z (fractional)
O 0.2062 0.9639 0.2707  2 Al 1.91-1.99, 1 Lu 2.12
Lu 0.6350 0.6350 0.0950  6 O 2.12-2.31
Al 0.8458 0.8458 0.4626  6 O 1.91-1.99
O 0.9639 0.5591 0.2707  2 Al 1.91-1.99, 1 Lu 2.12
O 0.7938 0.0361 0.7293  2 Al 1.91-1.99, 1 Lu 2.12
O 0.5591 0.2062 0.2707  2 Al 1.91-1.99, 1 Lu 2.12
O 0.0361 0.4409 0.7293  2 Al 1.91-1.99, 1 Lu 2.12
Al 0.1542 0.1542 0.5374  6 O 1.91-1.99
Lu 0.3650 0.3650 0.9050  6 O 2.12-2.31
O 0.4409 0.7938 0.7293  2 Al 1.91-1.99, 1 Lu 2.12

Values from the calculation:
As for the total magnetization: 0.00 μB/atom. The value obtained for the total energy is -7.874 eV/atom.